This record from the Alexandria database describes Co14NiIr after structural relaxation. The functional is PBE-GGA.

Properties
Final energy in eV/atom: -7.110
Total magnetization in μB/f.u.: 25.400

CIF file:
```
data_Co14NiIr
_cell_length_a 5.0368
_cell_length_b 5.0368
_cell_length_c 7.1026
_cell_angle_alpha 90.00
_cell_angle_beta 90.00
_cell_angle_gamma 90.00
_symmetry_space_group_name_H-M 'P 4/m m m'
_symmetry_Int_Tables_number 123
_symmetry_space_group_name_Hall '-P 4 2'
loop_
_atom_site_label
_atom_site_type_symbol
_atom_site_fract_x
_atom_site_fract_y
_atom_site_fract_z
_atom_site_occupancy
Co1 Co 0.0000 0.0000 0.0000 1
Co2 Co 0.0000 0.5000 0.0000 1
Co3 Co 0.0000 0.5000 0.5000 1
Co4 Co 0.2461 0.2461 0.2445 1
Co5 Co 0.5000 0.5000 0.0000 1
Ni1 Ni 0.0000 0.0000 0.5000 1
Ir1 Ir 0.5000 0.5000 0.5000 1
```



This record from the Alexandria database describes Fe5Ni after structural relaxation. The functional is PBE-GGA.

Properties
Polymorph energy (0 for the lowest one) in meV per atom: 107.7
Final energy in eV/atom: -7.889
Total magnetization in μB/f.u.: 1.165

CIF file:
```
data_Fe5Ni
_cell_length_a 4.2719
_cell_length_b 4.2719
_cell_length_c 3.9711
_cell_angle_alpha 90.00
_cell_angle_beta 90.00
_cell_angle_gamma 120.00
_symmetry_space_group_name_H-M 'P -6 2 m'
_symmetry_Int_Tables_number 189
_symmetry_space_group_name_Hall 'P -6 -2'
loop_
_atom_site_label
_atom_site_type_symbol
_atom_site_fract_x
_atom_site_fract_y
_atom_site_fract_z
_atom_site_occupancy
Fe1 Fe 0.0000 0.6672 0.0000 1
Fe2 Fe 0.3333 0.6667 0.5000 1
Ni1 Ni 0.0000 0.0000 0.5000 1
```



This record from the Alexandria database describes Y2Tm12Zr after structural relaxation. The functional is PBE-GGA.

Properties
Final energy in eV/atom: -4.875
Total magnetization in μB/f.u.: 0.004

CIF file:
```
data_Y2Tm12Zr
_cell_length_a 3.4977
_cell_length_b 47.1088
_cell_length_c 5.4936
_cell_angle_alpha 90.00
_cell_angle_beta 90.00
_cell_angle_gamma 90.00
_symmetry_space_group_name_H-M 'C m m m'
_symmetry_Int_Tables_number 65
_symmetry_space_group_name_Hall '-C 2 2'
loop_
_atom_site_label
_atom_site_type_symbol
_atom_site_fract_x
_atom_site_fract_y
_atom_site_fract_z
_atom_site_occupancy
Y1 Y 0.0000 0.1382 0.0000 1
Tm1 Tm 0.0000 0.0315 0.5000 1
Tm2 Tm 0.0000 0.0640 0.0000 1
Tm3 Tm 0.0000 0.2221 0.5000 1
Tm4 Tm 0.0000 0.2893 0.0000 1
Tm5 Tm 0.0000 0.3359 0.5000 1
Tm6 Tm 0.0000 0.4051 0.5000 1
Zr1 Zr 0.0000 0.5000 0.0000 1
```



This record from the Alexandria database describes LiMg2Ir after structural relaxation. The functional is PBE-GGA.

Properties
Final energy in eV/atom: -3.836
Total magnetization in μB/f.u.: 0.000

CIF file:
```
data_LiMg2Ir
_cell_length_a 6.3683
_cell_length_b 6.3683
_cell_length_c 6.3683
_cell_angle_alpha 90.00
_cell_angle_beta 90.00
_cell_angle_gamma 90.00
_symmetry_space_group_name_H-M 'F m -3 m'
_symmetry_Int_Tables_number 225
_symmetry_space_group_name_Hall '-F 4 2 3'
loop_
_atom_site_label
_atom_site_type_symbol
_atom_site_fract_x
_atom_site_fract_y
_atom_site_fract_z
_atom_site_occupancy
Li1 Li 0.0000 0.0000 0.0000 1
Mg1 Mg 0.2500 0.2500 0.2500 1
Ir1 Ir 0.0000 0.0000 0.5000 1
```



This record from the Alexandria database describes ScTi4N5 after structural relaxation. The functional is PBE-GGA.

Properties
Final energy in eV/atom: -9.709
Total magnetization in μB/f.u.: 0.000

CIF file:
```
data_ScTi4N5
_cell_length_a 3.0380
_cell_length_b 4.2939
_cell_length_c 15.2326
_cell_angle_alpha 90.00
_cell_angle_beta 90.00
_cell_angle_gamma 90.00
_symmetry_space_group_name_H-M 'I m m m'
_symmetry_Int_Tables_number 71
_symmetry_space_group_name_Hall '-I 2 2'
loop_
_atom_site_label
_atom_site_type_symbol
_atom_site_fract_x
_atom_site_fract_y
_atom_site_fract_z
_atom_site_occupancy
Sc1 Sc 0.0000 0.0000 0.0000 1
Ti1 Ti 0.0000 0.0000 0.2022 1
Ti2 Ti 0.0000 0.0000 0.3978 1
N1 N 0.0000 0.5000 0.0000 1
N2 N 0.0000 0.5000 0.2000 1
N3 N 0.0000 0.5000 0.3957 1
```



This record from the Alexandria database describes Tb3NdAl2 after structural relaxation. The functional is PBE-GGA.

Properties
Polymorph energy (0 for the lowest one) in meV per atom: 68.2
Final energy in eV/atom: -4.540
Total magnetization in μB/f.u.: 0.001

CIF file:
```
data_Tb3NdAl2
_cell_length_a 16.0302
_cell_length_b 5.2444
_cell_length_c 9.0331
_cell_angle_alpha 90.00
_cell_angle_beta 119.12
_cell_angle_gamma 90.00
_symmetry_space_group_name_H-M 'C 1 2/m 1'
_symmetry_Int_Tables_number 12
loop_
_symmetry_equiv_pos_as_xyz
'x,y,z'
'-x,-y,-z'
'-x,y,-z'
'x,-y,z'
'x+1/2,y+1/2,z'
'-x+1/2,-y+1/2,-z'
'-x+1/2,y+1/2,-z'
'x+1/2,-y+1/2,z'
loop_
_atom_site_label
_atom_site_type_symbol
_atom_site_fract_x
_atom_site_fract_y
_atom_site_fract_z
_atom_site_occupancy
Tb1 Tb 0.0619 0.0000 0.2153 1
Tb2 Tb 0.1177 0.5000 0.0307 1
Tb3 Tb 0.1874 0.5000 0.4943 1
Nd1 Nd 0.1308 0.0000 0.6831 1
Al1 Al 0.0208 0.5000 0.6566 1
Al2 Al 0.2314 0.0000 0.0999 1
```



This record from the Alexandria database describes RbLiCdS2 after structural relaxation. The functional is PBE-GGA.

Properties
Final energy in eV/atom: -3.444
Total magnetization in μB/f.u.: 0.000

CIF file:
```
data_RbLiCdS2
_cell_length_a 13.3713
_cell_length_b 4.2751
_cell_length_c 9.4206
_cell_angle_alpha 90.00
_cell_angle_beta 98.86
_cell_angle_gamma 90.00
_symmetry_space_group_name_H-M 'C 1 2/m 1'
_symmetry_Int_Tables_number 12
loop_
_symmetry_equiv_pos_as_xyz
'x,y,z'
'-x,-y,-z'
'-x,y,-z'
'x,-y,z'
'x+1/2,y+1/2,z'
'-x+1/2,-y+1/2,-z'
'-x+1/2,y+1/2,-z'
'x+1/2,-y+1/2,z'
loop_
_atom_site_label
_atom_site_type_symbol
_atom_site_fract_x
_atom_site_fract_y
_atom_site_fract_z
_atom_site_occupancy
Rb1 Rb 0.1587 0.0000 0.1618 1
Li1 Li 0.1806 0.0000 0.5571 1
Cd1 Cd 0.0537 0.5000 0.6784 1
S1 S 0.1261 0.0000 0.8043 1
S2 S 0.1333 0.5000 0.4327 1
```



This record from the Alexandria database describes CaTl2Mo after structural relaxation. The functional is PBE-GGA.

Properties
Polymorph energy (0 for the lowest one) in meV per atom: 191.1
Final energy in eV/atom: -3.860
Total magnetization in μB/f.u.: 0.000

CIF file:
```
data_CaTl2Mo
_cell_length_a 3.9821
_cell_length_b 5.0054
_cell_length_c 9.7935
_cell_angle_alpha 90.00
_cell_angle_beta 90.00
_cell_angle_gamma 90.00
_symmetry_space_group_name_H-M 'C m m 2'
_symmetry_Int_Tables_number 35
loop_
_symmetry_equiv_pos_as_xyz
'x,y,z'
'-x,-y,z'
'-x,y,z'
'x,-y,z'
'x+1/2,y+1/2,z'
'-x+1/2,-y+1/2,z'
'-x+1/2,y+1/2,z'
'x+1/2,-y+1/2,z'
loop_
_atom_site_label
_atom_site_type_symbol
_atom_site_fract_x
_atom_site_fract_y
_atom_site_fract_z
_atom_site_occupancy
Ca1 Ca 0.0000 0.0000 0.0000 1
Tl1 Tl 0.0000 0.0000 0.4540 1
Tl2 Tl 0.0000 0.5000 0.7194 1
Mo1 Mo 0.0000 0.5000 0.2350 1
```